# 1
Ta4Ti4W3: optimized geometry, PBE. Values from VASP.

```
&SYSTEM
  ibrav = 0, nat = 11, ntyp = 3
/
ATOMIC_SPECIES
Ta 180.95 Ta.upf
Ti 47.87 Ti.upf
W 183.84 W.upf
CELL_PARAMETERS angstrom
14.609 -2.275 0.000
14.609 2.275 0.000
-0.265 0.000 2.834
ATOMIC_POSITIONS angstrom
Ta 1.250 0.000 0.994
Ta 9.164 0.000 1.534
Ta 19.790 0.000 1.301
Ta 27.704 0.000 1.840
Ti 6.334 0.000 2.665
Ti 11.886 0.000 0.617
Ti 17.068 0.000 2.217
Ti 22.620 0.000 0.169
W 3.925 0.000 0.377
W 14.609 0.000 0.000
W 25.029 0.000 2.458
```

Summary:
Mass density, g/cm3: 12.9
Formation energy, eV/atom: -0.02

# 2
RbIn2Te2: optimized geometry, PBE. Values from VASP.

```
&SYSTEM
  ibrav = 0, nat = 10, ntyp = 3
/
ATOMIC_SPECIES
Rb 85.47 Rb.upf
In 114.82 In.upf
Te 127.60 Te.upf
CELL_PARAMETERS angstrom
6.130 0.000 0.000
3.044 8.029 0.000
3.058 1.968 7.843
ATOMIC_POSITIONS angstrom
Rb 2.818 2.498 1.961
Rb 9.415 7.499 5.882
In 3.178 5.962 0.373
In 6.234 7.066 3.547
In 5.998 2.931 4.296
In 9.055 4.035 7.470
Te 3.289 1.707 5.534
Te 6.341 5.264 6.232
Te 5.891 4.733 1.611
Te 8.944 8.290 2.308
```

Summary:
ΔE_f (raw), meV per atom: -415
Mass density, g/cm3: 4.9
Energy above the lowest structure with this stoichiometry, meV/atom: 70.9

# 3
KY2Sn: optimized geometry, PBE. Values from VASP.

```
&SYSTEM
  ibrav = 0, nat = 16, ntyp = 3
/
ATOMIC_SPECIES
K 39.10 K.upf
Y 88.91 Y.upf
Sn 118.71 Sn.upf
CELL_PARAMETERS angstrom
4.957 0.000 0.000
0.000 4.957 0.000
0.000 0.000 22.577
ATOMIC_POSITIONS angstrom
K 0.000 0.000 0.000
K 0.000 2.479 5.644
K 2.479 0.000 16.933
K 2.479 2.479 11.288
Y 1.070 1.239 14.111
Y 1.239 3.549 19.755
Y 1.239 3.888 8.466
Y 1.409 1.239 2.822
Y 3.549 3.718 2.822
Y 3.718 1.070 8.466
Y 3.718 1.409 19.755
Y 3.888 3.718 14.111
Sn 0.000 0.000 11.288
Sn 0.000 2.479 16.933
Sn 2.479 0.000 5.644
Sn 2.479 2.479 0.000
```

Summary:
Mass density, g/cm3: 4.0
Formation energy, eV/atom: 0.30

# 4
YCrBr2: optimized geometry, PBE. Values from VASP.

```
&SYSTEM
  ibrav = 0, nat = 16, ntyp = 3
/
ATOMIC_SPECIES
Y 88.91 Y.upf
Cr 52.00 Cr.upf
Br 79.90 Br.upf
CELL_PARAMETERS angstrom
4.893 0.000 0.000
0.000 4.893 0.000
0.000 0.000 18.269
ATOMIC_POSITIONS angstrom
Y 0.000 0.000 0.000
Y 0.000 2.446 4.567
Y 2.446 0.000 13.702
Y 2.446 2.446 9.134
Cr 0.000 0.000 9.134
Cr 0.000 2.446 13.702
Cr 2.446 0.000 4.567
Cr 2.446 2.446 0.000
Br 1.192 1.223 11.418
Br 1.223 3.639 15.985
Br 1.223 3.701 6.851
Br 1.254 1.223 2.284
Br 3.639 3.670 2.284
Br 3.670 1.192 6.851
Br 3.670 1.254 15.985
Br 3.701 3.670 11.418
```

Summary:
ΔE_f (raw), meV per atom: -299
Mass density, g/cm3: 4.6
Energy above the lowest structure with this stoichiometry, meV/atom: 280.9

# 5
Y2BePt: optimized geometry, PBE. Values from VASP.

```
&SYSTEM
  ibrav = 0, nat = 16, ntyp = 3
/
ATOMIC_SPECIES
Y 88.91 Y.upf
Be 9.01 Be.upf
Pt 195.08 Pt.upf
CELL_PARAMETERS angstrom
6.726 0.000 0.000
0.000 6.726 0.000
0.000 0.000 6.726
ATOMIC_POSITIONS angstrom
Y 0.000 0.000 0.000
Y 0.000 3.363 3.363
Y 1.681 1.681 1.681
Y 1.681 5.044 5.044
Y 3.363 0.000 3.363
Y 3.363 3.363 0.000
Y 5.044 1.681 5.044
Y 5.044 5.044 1.681
Be 0.000 0.000 3.363
Be 0.000 3.363 0.000
Be 3.363 0.000 0.000
Be 3.363 3.363 3.363
Pt 1.681 1.681 5.044
Pt 1.681 5.044 1.681
Pt 5.044 1.681 1.681
Pt 5.044 5.044 5.044
```

Summary:
Mass density, g/cm3: 8.3
Formation energy, eV/atom: -0.32

# 6
Pm3Pr6Dy2Tm: optimized geometry, PBE. Values from VASP.

```
&SYSTEM
  ibrav = 0, nat = 12, ntyp = 4
/
ATOMIC_SPECIES
Pm 145.00 Pm.upf
Pr 140.91 Pr.upf
Dy 162.50 Dy.upf
Tm 168.93 Tm.upf
CELL_PARAMETERS angstrom
3.171 -5.494 0.000
3.171 5.494 0.000
-2.111 0.000 11.820
ATOMIC_POSITIONS angstrom
Pm 0.000 0.000 0.000
Pm 3.171 1.831 0.000
Pm 3.171 -1.831 0.000
Pr 1.056 1.829 2.999
Pr 0.008 0.000 8.824
Pr 1.056 -1.829 2.999
Pr 3.175 1.829 8.821
Pr 4.224 0.000 2.996
Pr 3.175 -1.829 8.821
Dy 2.116 3.663 5.910
Dy 2.116 -3.663 5.910
Tm 2.116 0.000 5.910
```

Summary:
Mass density, g/cm3: 7.2
Formation energy, eV/atom: 0.01

# 7
TlRuI3: optimized geometry, PBE. Values from VASP.

```
&SYSTEM
  ibrav = 0, nat = 5, ntyp = 3
/
ATOMIC_SPECIES
Tl 204.38 Tl.upf
Ru 101.07 Ru.upf
I 126.90 I.upf
CELL_PARAMETERS angstrom
5.533 0.000 0.000
0.000 5.533 0.000
0.000 0.000 5.533
ATOMIC_POSITIONS angstrom
Tl 0.000 0.000 0.000
Ru 2.767 2.767 2.767
I 0.000 2.767 2.767
I 2.767 0.000 2.767
I 2.767 2.767 0.000
```

Summary:
ΔE_f (raw), meV per atom: 34
Mass density, g/cm3: 6.7
Energy above the lowest structure with this stoichiometry, meV/atom: 0.0

# 8
SbMoS2N: optimized geometry, PBE. Values from VASP.

```
&SYSTEM
  ibrav = 0, nat = 5, ntyp = 4
/
ATOMIC_SPECIES
Sb 121.76 Sb.upf
Mo 95.94 Mo.upf
S 32.06 S.upf
N 14.01 N.upf
CELL_PARAMETERS angstrom
4.903 0.000 0.000
0.000 4.903 0.000
0.000 0.000 3.790
ATOMIC_POSITIONS angstrom
Sb 0.000 0.000 0.000
Mo 2.452 2.452 1.895
S 0.000 2.452 1.895
S 2.452 0.000 1.895
N 2.452 2.452 0.000
```

Summary:
ΔE_f (raw), meV per atom: 149
Mass density, g/cm3: 5.4
Energy above the lowest structure with this stoichiometry, meV/atom: 0.0

# 9
Gd2HoHg: optimized geometry, PBE. Values from VASP.

```
&SYSTEM
  ibrav = 0, nat = 12, ntyp = 3
/
ATOMIC_SPECIES
Gd 157.25 Gd.upf
Ho 164.93 Ho.upf
Hg 200.59 Hg.upf
CELL_PARAMETERS angstrom
3.513 0.000 0.000
-1.757 3.043 0.000
0.000 0.000 35.924
ATOMIC_POSITIONS angstrom
Gd 0.000 0.000 3.173
Gd 0.000 0.000 32.751
Gd 0.000 2.028 20.776
Gd 0.000 2.028 27.122
Gd 1.757 1.014 8.802
Gd 1.757 1.014 15.147
Ho 0.000 0.000 17.962
Ho 0.000 2.028 5.987
Ho 1.757 1.014 29.937
Hg 0.000 0.000 0.000
Hg 0.000 2.028 23.949
Hg 1.757 1.014 11.975
```

Summary:
Mass density, g/cm3: 8.8
Formation energy, eV/atom: 0.10
Energy above the lowest structure with this stoichiometry, meV/atom: 323.9

# 10
KVHg: optimized geometry, PBE. Values from VASP.

```
&SYSTEM
  ibrav = 0, nat = 6, ntyp = 3
/
ATOMIC_SPECIES
K 39.10 K.upf
V 50.94 V.upf
Hg 200.59 Hg.upf
CELL_PARAMETERS angstrom
4.237 0.000 0.000
-0.016 5.263 0.000
-2.103 -2.618 8.408
ATOMIC_POSITIONS angstrom
K 0.000 0.000 0.000
K 0.200 0.007 5.764
V 0.327 2.627 2.730
V 2.028 2.641 1.988
Hg 2.086 0.009 2.689
Hg 2.395 2.640 4.811
```

Summary:
Mass density, g/cm3: 5.1
Formation energy, eV/atom: 0.43
Energy above the lowest structure with this stoichiometry, meV/atom: 130.5

The highest mass density belongs to which entry? Ta4Ti4W3

Which formula does entry 2 have? RbIn2Te2